VASP calculation (PBE) on a relaxed PuNbGaO6 crystal.

CIF file:
```
data_PuNbGaO6
_chemical_formula_sum 'Pu2 Nb2 Ga2 O12'
_symmetry_space_group_name_H-M 'P -3 1 c'
_symmetry_Int_Tables_number 163
_symmetry_space_group_name_Hall '-P 3 2c'
_cell_length_a 5.2029
_cell_length_b 5.2029
_cell_length_c 9.7201
_cell_angle_alpha 90.00
_cell_angle_beta 90.00
_cell_angle_gamma 120.00
loop_
_atom_site_label
_atom_site_type_symbol
_atom_site_fract_x
_atom_site_fract_y
_atom_site_fract_z
_atom_site_occupancy
Pu1 Pu 0.0000 0.0000 0.0000 1
Nb1 Nb 0.3333 0.6667 0.2500 1
Ga1 Ga 0.3333 0.6667 0.7500 1
O1 O 0.0011 0.3519 0.6366 1
```

Values from the calculation:
DOS(E_F)	7.61	states/eV per cell
ΔE_f (raw)	-236	kJ per mole of atoms
M_tot	4.00	μB/f.u.

***

VASP calculation (PBE) on a relaxed Sm2ErPd9 crystal.

CIF file:
```
data_Sm2ErPd9
_chemical_formula_sum 'Sm2 Er1 Pd9'
_symmetry_space_group_name_H-M 'P 4/m m m'
_symmetry_Int_Tables_number 123
_symmetry_space_group_name_Hall '-P 4 2'
_cell_length_a 4.155
_cell_length_b 4.155
_cell_length_c 12.428
_cell_angle_alpha 90.00
_cell_angle_beta 90.00
_cell_angle_gamma 90.00
loop_
_atom_site_label
_atom_site_type_symbol
_atom_site_fract_x
_atom_site_fract_y
_atom_site_fract_z
_atom_site_occupancy
Sm1 Sm 0.000 0.000 0.170 1
Er1 Er 0.000 0.000 0.500 1
Pd1 Pd 0.000 0.500 0.000 1
Pd2 Pd 0.000 0.500 0.338 1
Pd3 Pd 0.500 0.500 0.168 1
Pd4 Pd 0.500 0.500 0.500 1
```

Values from the calculation:
DOS(E_F)	8.76	states/eV per cell
E	-5.896	eV/atom
M_tot	0.00	μB/f.u.

***

VASP calculation (PBE) on a relaxed Ag2OsRh crystal.

CIF file:
```
data_Ag2OsRh
_chemical_formula_sum 'Ag4 Os2 Rh2'
_symmetry_space_group_name_H-M 'I -4 m 2'
_symmetry_Int_Tables_number 119
_symmetry_space_group_name_Hall 'I -4 -2'
_cell_length_a 4.040
_cell_length_b 4.040
_cell_length_c 7.688
_cell_angle_alpha 90.00
_cell_angle_beta 90.00
_cell_angle_gamma 90.00
loop_
_atom_site_label
_atom_site_type_symbol
_atom_site_fract_x
_atom_site_fract_y
_atom_site_fract_z
_atom_site_occupancy
Ag1 Ag 0.000 0.000 0.000 1
Ag2 Ag 0.000 0.500 0.250 1
Os1 Os 0.000 0.500 0.750 1
Rh1 Rh 0.000 0.000 0.500 1
```

Values from the calculation:
DOS(E_F)	8.72	states/eV per cell
energy above the most stable polymorph in this dataset	386	meV/atom
M_tot	0.00	μB/f.u.

***

VASP calculation (PBE) on a relaxed Li5PO4F2 crystal.

CIF file:
```
data_Li5PO4F2
_chemical_formula_sum 'Li10 P2 O8 F4'
_symmetry_space_group_name_H-M 'A m m 2'
_symmetry_Int_Tables_number 38
_cell_length_a 5.758
_cell_length_b 8.303
_cell_length_c 4.791
_cell_angle_alpha 90.00
_cell_angle_beta 90.00
_cell_angle_gamma 90.00
loop_
_symmetry_equiv_pos_as_xyz
'x,y,z'
'-x,-y,z'
'-x,y,z'
'x,-y,z'
'x,y+1/2,z+1/2'
'-x,-y+1/2,z+1/2'
'-x,y+1/2,z+1/2'
'x,-y+1/2,z+1/2'
loop_
_atom_site_label
_atom_site_type_symbol
_atom_site_fract_x
_atom_site_fract_y
_atom_site_fract_z
_atom_site_occupancy
Li1 Li 0.000 0.000 0.000 1
Li2 Li 0.252 0.186 0.496 1
P1 P 0.500 0.000 0.030 1
O1 O 0.281 0.000 0.223 1
O2 O 0.500 0.153 0.841 1
F1 F 0.000 0.181 0.762 1
```

Values from the calculation:
DOS(E_F)	0.00	states/eV per cell
ΔE_f (raw)	-245	kJ per mole of atoms
M_tot	0.00	μB/f.u.

***

VASP calculation (PBE) on a relaxed Li2PrGa4Ir crystal.

CIF file:
```
data_Li2PrGa4Ir
_chemical_formula_sum 'Li6 Pr3 Ga12 Ir3'
_symmetry_space_group_name_H-M 'R -3 m'
_symmetry_Int_Tables_number 166
_symmetry_space_group_name_Hall '-R 3 2"'
_cell_length_a 4.2660
_cell_length_b 4.2660
_cell_length_c 27.3241
_cell_angle_alpha 90.00
_cell_angle_beta 90.00
_cell_angle_gamma 120.00
loop_
_atom_site_label
_atom_site_type_symbol
_atom_site_fract_x
_atom_site_fract_y
_atom_site_fract_z
_atom_site_occupancy
Li1 Li 0.0000 0.0000 0.2281 1
Pr1 Pr 0.0000 0.0000 0.0000 1
Ga1 Ga 0.0000 0.0000 0.1290 1
Ga2 Ga 0.0000 0.0000 0.4049 1
Ir1 Ir 0.0000 0.0000 0.5000 1
```

Values from the calculation:
DOS(E_F)	13.06	states/eV per cell
E	-4.162	eV/atom
M_tot	0.00	μB/f.u.

***

VASP calculation (PBE) on a relaxed BeGe2Mo2 crystal.

CIF file:
```
data_BeGe2Mo2
_chemical_formula_sum 'Be2 Ge4 Mo4'
_symmetry_space_group_name_H-M 'P 4/m b m'
_symmetry_Int_Tables_number 127
_symmetry_space_group_name_Hall '-P 4 2ab'
_cell_length_a 6.440
_cell_length_b 6.440
_cell_length_c 3.520
_cell_angle_alpha 90.00
_cell_angle_beta 90.00
_cell_angle_gamma 90.00
loop_
_atom_site_label
_atom_site_type_symbol
_atom_site_fract_x
_atom_site_fract_y
_atom_site_fract_z
_atom_site_occupancy
Be1 Be 0.000 0.000 0.000 1
Ge1 Ge 0.140 0.360 0.000 1
Mo1 Mo 0.166 0.666 0.500 1
```

Values from the calculation:
DOS(E_F)	1.05	states/eV per cell
energy above the most stable polymorph in this dataset	59	meV/atom
M_tot	0.00	μB/f.u.

***

VASP calculation (PBE) on a relaxed Cs2KPb2Br7 crystal.

CIF file:
```
data_Cs2KPb2Br7
_chemical_formula_sum 'Cs4 K2 Pb4 Br14'
_symmetry_space_group_name_H-M 'C 1 2/m 1'
_symmetry_Int_Tables_number 12
_cell_length_a 8.438
_cell_length_b 8.434
_cell_length_c 15.530
_cell_angle_alpha 90.00
_cell_angle_beta 105.69
_cell_angle_gamma 90.00
loop_
_symmetry_equiv_pos_as_xyz
'x,y,z'
'-x,-y,-z'
'-x,y,-z'
'x,-y,z'
'x+1/2,y+1/2,z'
'-x+1/2,-y+1/2,-z'
'-x+1/2,y+1/2,-z'
'x+1/2,-y+1/2,z'
loop_
_atom_site_label
_atom_site_type_symbol
_atom_site_fract_x
_atom_site_fract_y
_atom_site_fract_z
_atom_site_occupancy
Cs1 Cs 0.173 0.000 0.359 1
K1 K 0.000 0.000 0.000 1
Pb1 Pb 0.100 0.500 0.202 1
Br1 Br 0.000 0.500 0.000 1
Br2 Br 0.157 0.251 0.811 1
Br3 Br 0.206 0.500 0.401 1
```

Values from the calculation:
DOS(E_F)	0.00	states/eV per cell
ΔE_f (raw)	-129	kJ per mole of atoms
M_tot	0.00	μB/f.u.

***

VASP calculation (PBE) on a relaxed CeDyH crystal.

CIF file:
```
data_CeDyH
_chemical_formula_sum 'Ce2 Dy2 H2'
_symmetry_space_group_name_H-M 'I 4 m m'
_symmetry_Int_Tables_number 107
_symmetry_space_group_name_Hall 'I 4 -2'
_cell_length_a 3.366
_cell_length_b 3.366
_cell_length_c 12.008
_cell_angle_alpha 90.00
_cell_angle_beta 90.00
_cell_angle_gamma 90.00
loop_
_atom_site_label
_atom_site_type_symbol
_atom_site_fract_x
_atom_site_fract_y
_atom_site_fract_z
_atom_site_occupancy
Ce1 Ce 0.000 0.000 0.000 1
Dy1 Dy 0.000 0.000 0.716 1
H1 H 0.000 0.000 0.531 1
```

Values from the calculation:
DOS(E_F)	12.87	states/eV per cell
energy above the most stable polymorph in this dataset	130	meV/atom
M_tot	1.08	μB/f.u.

***

VASP calculation (PBE) on a relaxed Sm5Ho2Sc4 crystal.

CIF file:
```
data_Sm5Ho2Sc4
_chemical_formula_sum 'Sm10 Ho4 Sc8'
_symmetry_space_group_name_H-M 'C 1 2/m 1'
_symmetry_Int_Tables_number 12
_cell_length_a 23.494
_cell_length_b 3.454
_cell_length_c 8.835
_cell_angle_alpha 90.00
_cell_angle_beta 108.80
_cell_angle_gamma 90.00
loop_
_symmetry_equiv_pos_as_xyz
'x,y,z'
'-x,-y,-z'
'-x,y,-z'
'x,-y,z'
'x+1/2,y+1/2,z'
'-x+1/2,-y+1/2,-z'
'-x+1/2,y+1/2,-z'
'x+1/2,-y+1/2,z'
loop_
_atom_site_label
_atom_site_type_symbol
_atom_site_fract_x
_atom_site_fract_y
_atom_site_fract_z
_atom_site_occupancy
Sm1 Sm 0.000 0.000 0.000 1
Sm2 Sm 0.132 0.500 0.971 1
Sm3 Sm 0.174 0.500 0.413 1
Ho1 Ho 0.097 0.000 0.622 1
Sc1 Sc 0.013 0.500 0.326 1
Sc2 Sc 0.232 0.000 0.817 1
```

Values from the calculation:
DOS(E_F)	32.42	states/eV per cell
E	-5.092	eV/atom
M_tot	0.00	μB/f.u.

***

VASP calculation (PBE) on a relaxed RbZrCuS4 crystal.

CIF file:
```
data_RbZrCuS4
_chemical_formula_sum 'Rb2 Zr2 Cu2 S8'
_symmetry_space_group_name_H-M 'P 1 21/m 1'
_symmetry_Int_Tables_number 11
_cell_length_a 6.730
_cell_length_b 5.169
_cell_length_c 9.669
_cell_angle_alpha 90.00
_cell_angle_beta 107.39
_cell_angle_gamma 90.00
loop_
_symmetry_equiv_pos_as_xyz
'x,y,z'
'-x,-y,-z'
'-x,y+1/2,-z'
'x,-y+1/2,z'
loop_
_atom_site_label
_atom_site_type_symbol
_atom_site_fract_x
_atom_site_fract_y
_atom_site_fract_z
_atom_site_occupancy
Rb1 Rb 0.239 0.250 0.031 1
Zr1 Zr 0.287 0.250 0.560 1
Cu1 Cu 0.263 0.750 0.323 1
S1 S 0.008 0.539 0.677 1
S2 S 0.428 0.750 0.570 1
S3 S 0.477 0.750 0.186 1
```

Values from the calculation:
ΔE_f (raw)	-89	kJ per mole of atoms
M_tot	0.00	μB/f.u.

***

- Which value of M_tot does entry 6 give?
  0.00 μB/f.u.